KNaPbO2 | PBE-GGA | optimized geometry

a = 4.0715 Å, b = 6.2485 Å, c = 9.0098 Å
α = 104.27°, β = 90.00°, γ = 109.01°
Fractional positions:
Na  0.7066  0.4133  0.0816
Na  0.2934  0.5867  0.9184
O  0.3466  0.6932  0.6912
O  0.6534  0.3068  0.3088
O  0.8715  0.7429  0.9773
O  0.1285  0.2571  0.0227
K  0.3283  0.6566  0.3952
K  0.6717  0.3434  0.6048
Pb  0.9623  0.9245  0.7926
Pb  0.0377  0.0755  0.2074

Results
**M_tot**: 0.00 Bohr magnetons per cell
**Calculated total energy**: -4.400 eV/atom